No. 1
AlMoPCl2 | GGA-PBE | optimized geometry

Cell: 4.518 4.518 5.121 Å, 90.00 90.00 90.00°
Last column: magnetic moment on the atom in μB.
Fractional coordinates of all 5 atoms:
P  0.000  0.000  0.500  -0.18
Cl  0.000  0.500  0.000  0.02
Cl  0.500  0.000  0.000  0.02
Mo  0.500  0.500  0.500  3.50
Al  0.000  0.000  0.000  0.02

Summary:
- volume (Å³ per cell) = 104.6
- energy relative to the elements, uncorrected (kJ per mole of atoms) = 33.49
- excess energy over the best structure of this formula in the dataset (eV/atom) = 0.2458
- ρ (g cm⁻³) = 3.57

---

No. 2
AlMoPCl2 | GGA-PBE | optimized geometry

Cell: 5.121 4.877 5.121 Å, 90.00 90.00 90.00°
Last column: magnetic moment on the atom in μB.
Fractional coordinates of all 5 atoms:
Al  0.500  0.500  0.500  0.03
Cl  0.000  0.000  0.500  0.12
P  0.000  0.000  0.000  -0.17
Mo  0.000  0.500  0.000  3.12
Cl  0.500  0.000  0.000  0.07

Summary:
- volume (Å³ per cell) = 127.9
- energy relative to the elements, uncorrected (kJ per mole of atoms) = 68.13
- excess energy over the best structure of this formula in the dataset (eV/atom) = 0.6048
- ρ (g cm⁻³) = 2.92

---

No. 3
AlMoS2Cl | GGA-PBE | optimized geometry

Cell: 4.678 4.678 5.024 Å, 90.00 90.00 90.00°
Fractional coordinates of all 5 atoms:
Al  0.500  0.500  0.500
Mo  0.000  0.000  0.000
Cl  0.000  0.000  0.500
S  0.500  0.000  0.000
S  0.000  0.500  0.000

Summary:
- volume (Å³ per cell) = 109.9
- energy relative to the elements, uncorrected (kJ per mole of atoms) = -8.71
- excess energy over the best structure of this formula in the dataset (eV/atom) = 0.0000
- ρ (g cm⁻³) = 3.36

---

Q: Which of these has the lowest ρ?
A: number 2